# Tc2PAu | the Alexandria database | PBE | optimized geometry
# Energy of formation (eV/atom): 0.511
# V (A^3/atom): 15.4
# Fermi-level density of states (states/eV/atom): 0.997
data_Tc2PAu
_cell_length_a 5.021
_cell_length_b 5.021
_cell_length_c 2.961
_cell_angle_alpha 101.79
_cell_angle_beta 101.79
_cell_angle_gamma 116.73
_space_group_name_H-M_alt 'P 1'
_space_group_IT_number 1
loop_
_space_group_symop_operation_xyz
'x,y,z'
loop_
_atom_site_label
_atom_site_type_symbol
_atom_site_fract_x
_atom_site_fract_y
_atom_site_fract_z
_atom_site_occupancy
Tc1 Tc 0.000 0.500 0.000 1
Tc2 Tc 0.500 0.000 0.000 1
P1 P 0.000 0.000 0.500 1
Au1 Au 0.500 0.500 0.500 1

# Rb2TiWBr6 | the Alexandria database | PBE | optimized geometry
# Energy relative to the elements, uncorrected (eV/atom): -0.708
# V (A^3/atom): 29.1
# Fermi-level density of states (states/eV/atom): 1.201
data_Rb2TiWBr6
_cell_length_a 7.433
_cell_length_b 7.433
_cell_length_c 7.433
_cell_angle_alpha 119.96
_cell_angle_beta 119.96
_cell_angle_gamma 90.08
_space_group_name_H-M_alt 'P 1'
_space_group_IT_number 1
loop_
_space_group_symop_operation_xyz
'x,y,z'
loop_
_atom_site_label
_atom_site_type_symbol
_atom_site_fract_x
_atom_site_fract_y
_atom_site_fract_z
_atom_site_occupancy
Rb1 Rb 0.250 0.750 0.500 1
Rb2 Rb 0.750 0.250 0.500 1
Ti1 Ti 0.000 0.000 0.000 1
W1 W 0.500 0.500 0.000 1
Br1 Br 0.251 0.251 0.000 1
Br2 Br 0.251 0.251 0.503 1
Br3 Br 0.251 0.749 0.000 1
Br4 Br 0.749 0.251 0.000 1
Br5 Br 0.749 0.749 0.000 1
Br6 Br 0.749 0.749 0.497 1

# InAu | the Alexandria database | PBE | optimized geometry
# Energy of formation (eV/atom): -0.072
# V (A^3/atom): 23.8
# Fermi-level density of states (states/eV/atom): 0.165
data_InAu
_cell_length_a 8.104
_cell_length_b 8.104
_cell_length_c 8.104
_cell_angle_alpha 26.78
_cell_angle_beta 26.78
_cell_angle_gamma 26.78
_space_group_name_H-M_alt 'P 1'
_space_group_IT_number 1
loop_
_space_group_symop_operation_xyz
'x,y,z'
loop_
_atom_site_label
_atom_site_type_symbol
_atom_site_fract_x
_atom_site_fract_y
_atom_site_fract_z
_atom_site_occupancy
In1 In 0.115 0.115 0.115 1
In2 In 0.885 0.885 0.885 1
Au1 Au 0.372 0.372 0.372 1
Au2 Au 0.628 0.628 0.628 1